[1]
First-principles (PBE) data for crystalline La3MnHg at its relaxed geometry, as listed in Alexandria.

Output
SG = Pm-3m (221)
energy above the most stable polymorph in this dataset = 63.9 kJ per mole of atoms
DFT total energy = -4.24 eV/atom
ΔH_f (0 K) = 0.615 eV per atom
DOS at the Fermi energy = 10.08 states/eV/cell

Cell and atoms, written as extended XYZ:
```
5
Lattice="5.933 0.000 0.000 0.000 5.933 0.000 0.000 0.000 5.933" Properties=species:S:1:pos:R:3 pbc="T T T"
La 0.000 0.000 2.967
La 0.000 2.967 0.000
La 2.967 0.000 0.000
Mn 2.967 2.967 2.967
Hg 0.000 0.000 0.000
```



[2]
First-principles (PBE) data for crystalline Pm2DyBr2N2 at its relaxed geometry, as listed in Alexandria.

Output
SG = I4/mmm (139)
DFT total energy = -6.22 eV/atom
DOS at the Fermi energy = 1.91 states/eV/cell

Cell and atoms, written as extended XYZ:
```
7
Lattice="-2.240 2.240 8.309 2.240 -2.240 8.309 2.240 2.240 -8.309" Properties=species:S:1:pos:R:3 pbc="T T T"
Pm 0.000 0.000 1.465
Pm 0.000 0.000 15.153
Dy 0.000 0.000 8.309
Br 0.000 0.000 5.378
Br 0.000 0.000 11.240
N 2.240 0.000 0.000
N 0.000 2.240 0.000
```



[3]
First-principles (PBE) data for crystalline NbGaH at its relaxed geometry, as listed in Alexandria.

Output
SG = Immm (71)
energy above the most stable polymorph in this dataset = 37.2 kJ per mole of atoms
DFT total energy = -5.34 eV/atom
DOS at the Fermi energy = 1.70 states/eV/cell

Cell and atoms, written as extended XYZ:
```
6
Lattice="-1.423 2.840 4.893 1.423 -2.840 4.893 1.423 2.840 -4.893" Properties=species:S:1:pos:R:3 pbc="T T T"
Nb 0.000 0.000 1.374
Nb 0.000 0.000 8.412
Ga 1.423 0.000 3.669
Ga 0.000 2.840 1.224
H 1.423 0.891 0.000
H 0.000 1.948 4.893
```



[4]
First-principles (PBE) data for crystalline YErAlIr at its relaxed geometry, as listed in Alexandria.

Output
SG = F-43m (216)
DFT total energy = -6.49 eV/atom
ΔH_f (0 K) = -0.585 eV per atom
DOS at the Fermi energy = 3.07 states/eV/cell

Cell and atoms, written as extended XYZ:
```
4
Lattice="0.000 3.503 3.503 3.503 0.000 3.503 3.503 3.503 0.000" Properties=species:S:1:pos:R:3 pbc="T T T"
Y 0.000 0.000 0.000
Er 3.503 3.503 3.503
Al 5.254 5.254 5.254
Ir 1.751 1.751 1.751
```



[5]
First-principles (PBE) data for crystalline Ba2ZnPbN at its relaxed geometry, as listed in Alexandria.

Output
SG = P4/mmm (123)
energy above the most stable polymorph in this dataset = 12.4 kJ per mole of atoms
DFT total energy = -3.74 eV/atom
DOS at the Fermi energy = 4.01 states/eV/cell

Cell and atoms, written as extended XYZ:
```
5
Lattice="6.113 0.000 0.000 0.000 6.113 0.000 0.000 0.000 3.864" Properties=species:S:1:pos:R:3 pbc="T T T"
Ba 0.000 3.057 0.000
Ba 3.057 0.000 0.000
Zn 0.000 0.000 1.932
Pb 3.057 3.057 1.932
N 0.000 0.000 0.000
```



[6]
First-principles (PBE) data for crystalline DyAl2Cu at its relaxed geometry, as listed in Alexandria.

Output
SG = P4/mmm (123)
DFT total energy = -4.31 eV/atom
ΔH_f (0 K) = -0.265 eV per atom
DOS at the Fermi energy = 1.94 states/eV/cell

Cell and atoms, written as extended XYZ:
```
4
Lattice="3.138 0.000 0.000 0.000 3.138 0.000 0.000 0.000 7.296" Properties=species:S:1:pos:R:3 pbc="T T T"
Dy 0.000 0.000 0.000
Al 1.569 1.569 2.228
Al 1.569 1.569 5.068
Cu 0.000 0.000 3.648
```



[7]
First-principles (PBE) data for crystalline HPdBr2 at its relaxed geometry, as listed in Alexandria.

Output
SG = Cmmm (65)
energy above the most stable polymorph in this dataset = 0.0 kJ per mole of atoms
DFT total energy = -3.07 eV/atom
DOS at the Fermi energy = 2.12 states/eV/cell

Cell and atoms, written as extended XYZ:
```
4
Lattice="1.794 -6.829 0.000 1.794 6.829 0.000 0.000 0.000 3.671" Properties=species:S:1:pos:R:3 pbc="T T T"
H 0.000 0.000 0.000
Pd 1.794 0.000 0.000
Br 1.794 1.735 1.835
Br 1.794 -1.735 1.835
```



[8]
First-principles (PBE) data for crystalline RbTmVCl6 at its relaxed geometry, as listed in Alexandria.

Output
SG = P-31c (163)
DFT total energy = -4.71 eV/atom

Cell and atoms, written as extended XYZ:
```
18
Lattice="6.620 0.000 0.000 -3.310 5.733 0.000 0.000 0.000 14.944" Properties=species:S:1:pos:R:3 pbc="T T T"
Rb 0.000 0.000 0.000
Rb 0.000 0.000 7.472
Tm 0.000 3.822 3.736
Tm 3.310 1.911 11.208
V 0.000 3.822 11.208
V 3.310 1.911 3.736
Cl -1.151 2.148 9.747
Cl -2.025 3.662 12.669
Cl 1.151 2.148 12.669
Cl -0.874 5.656 9.747
Cl 2.436 0.077 2.275
Cl 1.285 2.071 5.197
Cl 2.025 3.662 9.747
Cl 0.874 5.656 12.669
Cl 4.184 0.077 5.197
Cl 2.159 3.585 2.275
Cl 5.335 2.071 2.275
Cl 4.461 3.585 5.197
```



[9]
First-principles (PBE) data for crystalline PrZn2PdPt at its relaxed geometry, as listed in Alexandria.

Output
SG = Imm2 (44)
DFT total energy = -4.37 eV/atom
ΔH_f (0 K) = -0.654 eV per atom
DOS at the Fermi energy = 2.11 states/eV/cell

Cell and atoms, written as extended XYZ:
```
5
Lattice="-1.964 2.041 6.045 1.964 -2.041 6.045 1.964 2.041 -6.045" Properties=species:S:1:pos:R:3 pbc="T T T"
Pr 0.000 0.000 0.000
Zn 0.000 0.000 4.558
Zn 0.000 2.041 2.896
Pd 1.964 0.000 2.937
Pt 0.000 0.000 7.108
```



[10]
First-principles (PBE) data for crystalline ZnGeRh at its relaxed geometry, as listed in Alexandria.

Output
SG = I4/mmm (139)
DFT total energy = -4.75 eV/atom
ΔH_f (0 K) = -0.335 eV per atom
DOS at the Fermi energy = 2.92 states/eV/cell

Cell and atoms, written as extended XYZ:
```
6
Lattice="-1.507 1.507 10.216 1.507 -1.507 10.216 1.507 1.507 -10.216" Properties=species:S:1:pos:R:3 pbc="T T T"
Zn 0.000 0.000 4.295
Zn 0.000 0.000 16.137
Ge 0.000 0.000 1.239
Ge 0.000 0.000 19.193
Rh 0.000 0.000 7.585
Rh 0.000 0.000 12.847
```



[11]
First-principles (PBE) data for crystalline Rb2AlIrI6 at its relaxed geometry, as listed in Alexandria.

Output
SG = I4/mmm (139)
DFT total energy = -3.00 eV/atom
DOS at the Fermi energy = 0.00 states/eV/cell

Cell and atoms, written as extended XYZ:
```
10
Lattice="-4.074 4.074 5.747 4.074 -4.074 5.747 4.074 4.074 -5.747" Properties=species:S:1:pos:R:3 pbc="T T T"
Rb 4.074 0.000 2.874
Rb 0.000 4.074 2.874
Al 0.000 0.000 0.000
Ir 0.000 0.000 5.747
I 0.000 0.000 3.013
I 2.142 2.142 0.000
I 1.932 -1.932 5.747
I -1.932 1.932 5.747
I 1.932 1.932 5.747
I 0.000 0.000 8.482
```



[12]
First-principles (PBE) data for crystalline Ba2LaPb at its relaxed geometry, as listed in Alexandria.

Output
SG = P2/m (10)
DFT total energy = -3.26 eV/atom
ΔH_f (0 K) = -0.142 eV per atom
DOS at the Fermi energy = 4.38 states/eV/cell

Cell and atoms, written as extended XYZ:
```
4
Lattice="4.060 0.000 0.000 0.000 5.416 0.000 -0.011 0.000 7.587" Properties=species:S:1:pos:R:3 pbc="T T T"
Ba -0.002 0.000 1.766
Ba 4.051 0.000 5.821
La 2.024 2.708 3.793
Pb 2.030 2.708 0.000
```